The following is a DFT calculation (PBE) of a geometry-optimized Nd4Pb2O structure.

For the formation energy from raw total energies, the calculation gives -0.91 eV per atom. Its crystal system is tetragonal. The calculation puts the energy above the most stable polymorph in this dataset at 1.68 eV per formula unit.

a = 4.735 Å, b = 4.735 Å, c = 10.006 Å
α = 76.31°, β = 76.31°, γ = 90.00°
Positions (direct):
Nd1 0.670 0.670 0.660
Nd2 0.500 0.000 0.000
Nd3 0.000 0.500 0.000
Nd4 0.330 0.330 0.340
O1 0.000 0.000 0.000
Pb1 0.151 0.151 0.698
Pb2 0.849 0.849 0.302